Record 1
Here is a relaxed Ac2CuNi12B3 crystal from the Alexandria database. Energies are from PBE-GGA.

## Properties
total magnetic moment: 0.000 μB per atom
symmetry: R-3m (166)
E_form: 0.01 eV per atom

a b c (Å): 6.984 6.984 6.984
angles (deg): 63.63 63.63 63.63
Positions (direct):
Ni1 0.309 0.922 0.309
Ni2 0.109 0.622 0.109
Ni3 0.691 0.078 0.691
Ni4 0.622 0.109 0.109
Ni5 0.691 0.691 0.078
Ni6 0.109 0.109 0.622
Ni7 0.922 0.309 0.309
Ac1 0.613 0.613 0.613
B1 0.500 0.000 0.000
Ni8 0.309 0.309 0.922
Cu1 0.000 0.000 0.000
Ni9 0.891 0.378 0.891
B2 0.000 0.500 0.000
Ac2 0.387 0.387 0.387
B3 0.000 0.000 0.500
Ni10 0.078 0.691 0.691
Ni11 0.378 0.891 0.891
Ni12 0.891 0.891 0.378

Record 2
Here is a relaxed AcCu2B2O7 crystal from the Alexandria database. Energies are from PBE-GGA.

## Properties
raw formation energy: -1.8673 eV/atom
total magnetic moment: 0.258 μB per atom
symmetry: R32 (155)

a b c (Å): 5.093 5.093 8.924
angles (deg): 73.42 73.42 60.00
Each line ends with the local moment (μB).
Positions (direct):
B1 0.269 0.269 0.194  0.00
O1 0.697 0.474 0.814  0.10
O2 0.500 0.500 0.500  0.73
O3 0.985 0.526 0.186  0.10
O4 0.015 0.697 0.814  0.10
Ac1 0.000 0.000 0.000  0.01
O5 0.303 0.985 0.186  0.10
O6 0.526 0.303 0.186  0.10
O7 0.474 0.015 0.814  0.10
Cu1 0.431 0.431 0.708  0.77
Cu2 0.569 0.569 0.292  0.77
B2 0.731 0.731 0.806  0.00

Record 3
Here is a relaxed Ac3CuB2O8 crystal from the Alexandria database. Energies are from PBE-GGA.

## Properties
raw formation energy: -2.7028 eV/atom
total magnetic moment: 0.008 μB per atom
symmetry: P-3m1 (164)

a b c (Å): 5.376 5.376 6.979
angles (deg): 90.00 90.00 120.00
Each line ends with the local moment (μB).
Positions (direct):
O1 0.182 0.818 0.290  0.00
O2 0.182 0.365 0.290  0.00
B1 0.667 0.333 0.790  0.00
O3 0.365 0.182 0.710  0.00
B2 0.333 0.667 0.210  0.00
O4 0.818 0.635 0.710  0.00
Ac1 0.000 0.000 0.000  0.00
Ac2 0.667 0.333 0.336  0.00
O5 0.667 0.333 0.999  0.00
Cu1 0.000 0.000 0.500  0.10
O6 0.333 0.667 0.001  0.00
O7 0.818 0.182 0.710  0.00
Ac3 0.333 0.667 0.664  0.00
O8 0.635 0.818 0.290  0.00

Record 4
Here is a relaxed Ac3CuB2Pd9 crystal from the Alexandria database. Energies are from PBE-GGA.

## Properties
total magnetic moment: 0.000 μB per atom
symmetry: P-3m1 (164)
E_form: -0.56 eV per atom

a b c (Å): 6.774 6.774 7.215
angles (deg): 90.00 90.00 120.00
Positions (direct):
Ac1 0.667 0.333 0.335
Pd1 0.000 0.500 0.000
Pd2 0.370 0.185 0.686
Ac2 0.333 0.667 0.665
Pd3 0.815 0.185 0.686
Ac3 0.000 0.000 0.000
B1 0.667 0.333 0.859
Pd4 0.185 0.370 0.314
Pd5 0.500 0.500 0.000
Pd6 0.630 0.815 0.314
Pd7 0.815 0.630 0.686
Cu1 0.000 0.000 0.500
Pd8 0.185 0.815 0.314
B2 0.333 0.667 0.141
Pd9 0.500 0.000 0.000

Record 5
Here is a relaxed Ac2Cu2BPt4 crystal from the Alexandria database. Energies are from PBE-GGA.

## Properties
total magnetic moment: 0.000 μB per atom
symmetry: I4/mmm (139)
E_form: -0.57 eV per atom

a b c (Å): 6.357 6.357 6.357
angles (deg): 89.52 120.28 120.28
Positions (direct):
Cu1 0.000 0.636 0.636
Pt1 0.000 0.764 0.236
Pt2 0.000 0.236 0.764
Ac1 0.500 0.250 0.750
Cu2 0.000 0.364 0.364
B1 0.000 0.000 0.000
Pt3 0.528 0.764 0.764
Ac2 0.500 0.750 0.250
Pt4 0.472 0.236 0.236

Record 6
Here is a relaxed Ac2CuB3Pt12 crystal from the Alexandria database. Energies are from PBE-GGA.

## Properties
total magnetic moment: 0.000 μB per atom
symmetry: R-3m (166)
E_form: -0.44 eV per atom

a b c (Å): 7.528 7.528 7.528
angles (deg): 64.05 64.05 64.05
Positions (direct):
Ac1 0.388 0.388 0.388
Pt1 0.627 0.113 0.113
Pt2 0.373 0.887 0.887
Pt3 0.676 0.676 0.085
Pt4 0.915 0.324 0.324
Pt5 0.085 0.676 0.676
Pt6 0.887 0.887 0.373
B1 0.000 0.000 0.500
Pt7 0.324 0.324 0.915
Ac2 0.612 0.612 0.612
Pt8 0.324 0.915 0.324
B2 0.000 0.500 0.000
Pt9 0.676 0.085 0.676
Cu1 0.000 0.000 0.000
Pt10 0.887 0.373 0.887
B3 0.500 0.000 0.000
Pt11 0.113 0.627 0.113
Pt12 0.113 0.113 0.627

The following D(E_F) values (in states/eV/f.u.) correspond, in order, to the records above: 9.74 4.58 0.00 6.30 5.39 6.80.